VASP calculation (GGA-PBE) on a relaxed Cs9I3BrO2 crystal.

```
15
Lattice="8.653 0.000 0.000 -4.327 7.494 0.000 0.000 0.000 12.068" Properties=species:S:1:pos:R:3 pbc="T T T"
Cs -2.163 3.747 0.000
Cs 0.000 2.622 3.454
Cs -2.056 6.183 3.454
Cs 2.270 1.311 8.614
Cs 4.327 0.000 0.000
Cs 2.163 3.747 0.000
Cs 2.056 6.183 3.454
Cs 6.383 1.311 8.614
Cs 4.327 4.872 8.614
I 0.000 0.000 0.000
I 0.000 4.996 8.976
I 4.327 2.498 3.092
Br 0.000 0.000 6.034
O 0.000 4.996 1.969
O 4.327 2.498 10.100
```

Summary:
For the raw formation energy, the calculation gives -1759 kJ/mol of formula units. Its density of states at the Fermi level is 2.507 states/eV per cell. As for the space group: P-3m1. The total moment comes out at 0.00 μB per formula unit.

VASP calculation (GGA-PBE) on a relaxed Cs2LaWBr6 crystal.

```
10
Lattice="0.000 5.564 5.564 5.564 0.000 5.564 5.564 5.564 0.000" Properties=species:S:1:pos:R:3 pbc="T T T"
Cs 2.782 2.782 2.782
Cs 8.346 8.346 8.346
La 0.000 0.000 0.000
W 5.564 5.564 5.564
Br 5.564 5.564 2.949
Br 5.564 2.949 5.564
Br 8.179 5.564 5.564
Br 2.949 5.564 5.564
Br 5.564 8.179 5.564
Br 5.564 5.564 8.179
```

Summary:
For the raw formation energy, the calculation gives -1041 kJ/mol of formula units. Its density of states at the Fermi level is 5.036 states/eV per cell. As for the space group: Fm-3m. The total moment comes out at 1.00 μB per formula unit.

VASP calculation (GGA-PBE) on a relaxed ZnCu2Ni crystal.

```
4
Lattice="2.568 -3.601 0.000 2.568 3.601 0.000 0.000 0.000 2.608" Properties=species:S:1:pos:R:3 pbc="T T T"
Zn 0.000 0.000 0.000
Cu 1.284 1.801 1.304
Cu 1.284 -1.801 1.304
Ni 2.568 0.000 0.000
```

Summary:
As for the total energy: -3.87 eV/atom. Its density of states at the Fermi level is 1.747 states/eV per cell. As for the space group: Cmmm. The total moment comes out at 0.00 μB per formula unit.

VASP calculation (GGA-PBE) on a relaxed NbTlN2O crystal.

```
5
Lattice="4.206 0.000 0.000 0.000 4.206 0.000 0.000 0.000 4.002" Properties=species:S:1:pos:R:3 pbc="T T T"
Nb 0.000 0.000 0.000
Tl 2.103 2.103 2.001
N 0.000 2.103 0.000
N 2.103 0.000 0.000
O 0.000 0.000 2.001
```

Summary:
For the raw formation energy, the calculation gives -122 kJ/mol of formula units. Its density of states at the Fermi level is 1.453 states/eV per cell. As for the space group: P4/mmm. The total moment comes out at 0.00 μB per formula unit.

VASP calculation (GGA-PBE) on a relaxed BaV2Rh crystal.

```
8
Lattice="-2.569 2.569 8.292 2.569 -2.569 8.292 2.569 2.569 -8.292" Properties=species:S:1:pos:R:3 pbc="T T T"
Ba 2.569 1.284 2.073
Ba 0.000 1.284 6.219
V 0.000 0.000 0.000
V 1.284 1.284 -4.146
V 1.284 -1.284 4.146
V 0.000 2.569 0.000
Rh 2.569 -1.284 6.219
Rh 0.000 3.853 2.073
```

Summary:
Its polymorph energy (0 for the lowest one) is 0 meV per atom. Its density of states at the Fermi level is 12.390 states/eV per cell. As for the space group: I4_1/amd. The total moment comes out at 4.12 μB per formula unit.

VASP calculation (GGA-PBE) on a relaxed CaMg3Hg crystal.

```
5
Lattice="6.357 0.000 0.000 0.000 6.357 0.000 0.000 0.000 6.357" Properties=species:S:1:pos:R:3 pbc="T T T"
Ca 0.000 0.000 0.000
Mg 0.000 0.000 3.179
Mg 0.000 3.179 0.000
Mg 3.179 0.000 0.000
Hg 3.179 3.179 3.179
```

Summary:
Its polymorph energy (0 for the lowest one) is 966 meV per atom. Its density of states at the Fermi level is 6.235 states/eV per cell. As for the space group: Pm-3m. The total moment comes out at 0.00 μB per formula unit.

VASP calculation (GGA-PBE) on a relaxed Pu6US12 crystal.

```
19
Lattice="5.976 3.450 3.743 -5.976 3.450 3.743 0.000 -6.901 3.743" Properties=species:S:1:pos:R:3 pbc="T T T"
Pu -3.076 -2.969 5.883
Pu -4.110 1.180 5.345
Pu 1.033 -4.149 5.345
Pu -1.033 4.149 5.883
Pu 4.110 -1.180 5.883
Pu 3.076 2.969 5.345
U 0.000 0.000 5.614
S -1.505 -4.981 4.905
S -5.066 -1.187 6.323
S -2.181 -0.509 4.306
S -3.561 3.794 4.905
S 1.532 -1.634 4.306
S -0.649 -2.143 6.922
S 0.649 2.143 4.306
S -1.532 1.634 6.922
S 3.561 -3.794 6.323
S 2.181 0.509 6.922
S 5.066 1.187 4.905
S 1.505 4.981 6.323
```

Summary:
For the raw formation energy, the calculation gives -2909 kJ/mol of formula units. Its density of states at the Fermi level is 47.444 states/eV per cell. As for the space group: R-3. The total moment comes out at 30.00 μB per formula unit.